VASP calculation (PBE) on a geometry-optimized AgSnHgAu structure.

Values from the calculation:
For the calculated volume, the calculation gives 85.81 Å³/f.u. The energy comes out at -2.532 eV/atom.

Cell and atoms, written as CIF:
```
data_AgSnHgAu
_chemical_formula_sum 'Ag4 Sn4 Hg4 Au4'
_cell_length_a 7.002
_cell_length_b 7.002
_cell_length_c 7.002
_cell_angle_alpha 90.00
_cell_angle_beta 90.00
_cell_angle_gamma 90.00
_space_group_name_H-M_alt 'P 1'
_space_group_IT_number 1
loop_
_space_group_symop_operation_xyz
'x,y,z'
loop_
_atom_site_label
_atom_site_type_symbol
_atom_site_fract_x
_atom_site_fract_y
_atom_site_fract_z
Ag1 Ag 0.000 0.000 0.000
Ag2 Ag 0.000 0.500 0.500
Ag3 Ag 0.500 0.000 0.500
Ag4 Ag 0.500 0.500 0.000
Sn1 Sn 0.250 0.250 0.750
Sn2 Sn 0.250 0.750 0.250
Sn3 Sn 0.750 0.250 0.250
Sn4 Sn 0.750 0.750 0.750
Hg1 Hg 0.250 0.250 0.250
Hg2 Hg 0.250 0.750 0.750
Hg3 Hg 0.750 0.250 0.750
Hg4 Hg 0.750 0.750 0.250
Au1 Au 0.000 0.000 0.500
Au2 Au 0.000 0.500 0.000
Au3 Au 0.500 0.000 0.000
Au4 Au 0.500 0.500 0.500
```